# K2MoOs | Alexandria | PBE | relaxed
data_K2MoOs
_chemical_formula_sum 'K6 Mo3 Os3'
_symmetry_space_group_name_H-M 'R -3 m'
_symmetry_Int_Tables_number 166
_symmetry_space_group_name_Hall '-R 3 2"'
_cell_length_a 2.8115
_cell_length_b 2.8115
_cell_length_c 36.2110
_cell_angle_alpha 90.00
_cell_angle_beta 90.00
_cell_angle_gamma 120.00
loop_
_atom_site_label
_atom_site_type_symbol
_atom_site_fract_x
_atom_site_fract_y
_atom_site_fract_z
K1 K 0.0000 0.0000 0.2463
Mo1 Mo 0.0000 0.0000 0.0000
Os1 Os 0.0000 0.0000 0.5000
# DFT formation energy in meV per atom: 1400
# Energy above the lowest structure with this stoichiometry in meV per atom: 591

# CaCe3Pb4 | Alexandria | PBE | relaxed
data_CaCe3Pb4
_chemical_formula_sum 'Ca1 Ce3 Pb4'
_symmetry_space_group_name_H-M 'P 4/m m m'
_symmetry_Int_Tables_number 123
_symmetry_space_group_name_Hall '-P 4 2'
_cell_length_a 3.601
_cell_length_b 3.601
_cell_length_c 18.386
_cell_angle_alpha 90.00
_cell_angle_beta 90.00
_cell_angle_gamma 90.00
loop_
_atom_site_label
_atom_site_type_symbol
_atom_site_fract_x
_atom_site_fract_y
_atom_site_fract_z
Ca1 Ca 0.000 0.000 0.000
Ce1 Ce 0.000 0.000 0.251
Ce2 Ce 0.000 0.000 0.500
Pb1 Pb 0.500 0.500 0.124
Pb2 Pb 0.500 0.500 0.375
# DFT formation energy in meV per atom: -428
# Energy above the lowest structure with this stoichiometry in meV per atom: 0

# Ca3YH | Alexandria | PBE | relaxed
data_Ca3YH
_chemical_formula_sum 'Ca3 Y1 H1'
_symmetry_space_group_name_H-M 'P m -3 m'
_symmetry_Int_Tables_number 221
_symmetry_space_group_name_Hall '-P 4 2 3'
_cell_length_a 5.280
_cell_length_b 5.280
_cell_length_c 5.280
_cell_angle_alpha 90.00
_cell_angle_beta 90.00
_cell_angle_gamma 90.00
loop_
_atom_site_label
_atom_site_type_symbol
_atom_site_fract_x
_atom_site_fract_y
_atom_site_fract_z
Ca1 Ca 0.000 0.000 0.500
Y1 Y 0.500 0.500 0.500
H1 H 0.000 0.000 0.000
# Total energy in eV/atom: -3.176

# ZnCr3B | Alexandria | PBE | relaxed
data_ZnCr3B
_chemical_formula_sum 'Zn1 Cr3 B1'
_symmetry_space_group_name_H-M 'P m -3 m'
_symmetry_Int_Tables_number 221
_symmetry_space_group_name_Hall '-P 4 2 3'
_cell_length_a 3.919
_cell_length_b 3.919
_cell_length_c 3.919
_cell_angle_alpha 90.00
_cell_angle_beta 90.00
_cell_angle_gamma 90.00
loop_
_atom_site_label
_atom_site_type_symbol
_atom_site_fract_x
_atom_site_fract_y
_atom_site_fract_z
Zn1 Zn 0.000 0.000 0.000
Cr1 Cr 0.000 0.500 0.500
B1 B 0.500 0.500 0.500
# DFT formation energy in meV per atom: 319
# Energy above the lowest structure with this stoichiometry in meV per atom: 0

| no. | magnetic moment (μB per formula unit) |
| --- | --- |
| 1 | 0.00 |
| 2 | 4.05 |
| 3 | 0.67 |
| 4 | 2.91 |